The following is a DFT calculation (GGA-PBE) of crystalline Ba4Nb3InO12 at its relaxed geometry.

Unit cell a=7.2507 b=7.2507 c=7.2507 alpha=109.47 beta=109.47 gamma=109.47
Atoms (fractional coordinates):
Ba1 0.5000 0.5000 0.5000
Ba2 0.0000 0.0000 0.5000
Ba3 0.5000 0.0000 0.0000
Ba4 0.0000 0.5000 0.0000
Nb1 0.5000 0.0000 0.5000
Nb2 0.5000 0.5000 0.0000
Nb3 0.0000 0.5000 0.5000
In1 0.0000 0.0000 0.0000
O1 0.2500 0.5000 0.7500
O2 0.7409 0.0000 0.7409
O3 0.2591 0.0000 0.2591
O4 0.7500 0.5000 0.2500
O5 0.7409 0.7409 0.0000
O6 0.2591 0.2591 0.0000
O7 0.7500 0.2500 0.5000
O8 0.2500 0.7500 0.5000
O9 0.5000 0.2500 0.7500
O10 0.0000 0.7409 0.7409
O11 0.5000 0.7500 0.2500
O12 0.0000 0.2591 0.2591

Results
* total energy: -152.70 eV for the cell shown

---

The following is a DFT calculation (GGA-PBE) of crystalline BaNbInSnO6 at its relaxed geometry.

Unit cell a=5.9053 b=5.9053 c=5.9053 alpha=60.00 beta=60.00 gamma=60.00
Atoms (fractional coordinates):
Ba1 0.2500 0.2500 0.2500
Nb1 0.5000 0.5000 0.5000
In1 0.0000 0.0000 0.0000
Sn1 0.7500 0.7500 0.7500
O1 0.2591 0.7409 0.2591
O2 0.7409 0.2591 0.7409
O3 0.2591 0.7409 0.7409
O4 0.7409 0.2591 0.2591
O5 0.2591 0.2591 0.7409
O6 0.7409 0.7409 0.2591

Results
* total energy: -69.12 eV for the cell shown

---

The following is a DFT calculation (GGA-PBE) of crystalline BaNbIn2Si at its relaxed geometry.

Unit cell a=6.0599 b=5.4090 c=6.0599 alpha=90.00 beta=90.00 gamma=90.00
Atoms (fractional coordinates):
Nb1 0.0000 0.5000 0.0000
Si1 0.5000 0.5000 0.5000
Ba1 0.0000 0.0000 0.0000
In1 0.0000 0.0000 0.5000
In2 0.5000 0.0000 0.0000

Results
* total energy: -12.95 eV for the cell shown